(1)
Here is a PBEsol-optimized structure of Mn2FeIr from Alexandria. Energies are from SCAN.

It has space group Imm2 (No. 44), with a = 2.8130 Å, b = 4.1358 Å, c = 8.2562 Å, α = 90.00°, β = 90.00° and γ = 90.00°. Symmetry generates all atoms from Mn at (0.0000, 0.0000, 0.0000), Mn at (0.0000, 0.5000, 0.2557), Fe at (0.0000, 0.0000, 0.5116) and Ir at (0.0000, 0.5000, 0.7545).

As for the density of states at the Fermi level: 3.571 states/eV/f.u. The value obtained for the polymorph energy (0 for the lowest one) is 0.75 eV per formula unit. The volume comes out at 96.05 Å³/cell. As for the formation energy: -127 meV/atom.

(2)
Here is a PBEsol-optimized structure of FeMoIr from Alexandria. Energies are from SCAN.

It has space group F-43m (No. 216), with a = 5.8190 Å, b = 5.8190 Å, c = 5.8190 Å, α = 90.00°, β = 90.00° and γ = 90.00°. Symmetry generates all atoms from Fe at (0.0000, 0.0000, 0.0000), Mo at (0.0000, 0.0000, 0.5000) and Ir at (0.2500, 0.2500, 0.7500).

As for the density of states at the Fermi level: 4.364 states/eV/f.u. The volume comes out at 197.04 Å³/cell. As for the formation energy: 262 meV/atom.

(3)
Here is a PBEsol-optimized structure of FeMoIr2 from Alexandria. Energies are from SCAN.

It has space group P4/mmm (No. 123), with a = 3.7627 Å, b = 3.7627 Å, c = 3.7598 Å, α = 90.00°, β = 90.00° and γ = 90.00°. Symmetry generates all atoms from Fe at (0.0000, 0.0000, 0.0000), Mo at (0.5000, 0.5000, 0.0000) and Ir at (0.0000, 0.5000, 0.5000).

As for the density of states at the Fermi level: 2.551 states/eV/f.u. The value obtained for the polymorph energy (0 for the lowest one) is 0.32 eV per formula unit. The volume comes out at 53.23 Å³/cell. As for the formation energy: -235 meV/atom.

(4)
Here is a PBEsol-optimized structure of FeMoIr2 from Alexandria. Energies are from SCAN.

It has space group Pmmm (No. 47), with a = 2.7085 Å, b = 3.7438 Å, c = 5.3867 Å, α = 90.00°, β = 90.00° and γ = 90.00°. Symmetry generates all atoms from Fe at (0.0000, 0.0000, 0.0000), Mo at (0.0000, 0.0000, 0.5000) and Ir at (0.5000, 0.5000, 0.2418).

As for the density of states at the Fermi level: 2.714 states/eV/f.u. The value obtained for the polymorph energy (0 for the lowest one) is 0.00 eV per formula unit. The volume comes out at 54.62 Å³/cell. As for the formation energy: -315 meV/atom.

(5)
Here is a PBEsol-optimized structure of FeMoIr2 from Alexandria. Energies are from SCAN.

It has space group P4mm (No. 99), with a = 3.1814 Å, b = 3.1814 Å, c = 5.4878 Å, α = 90.00°, β = 90.00° and γ = 90.00°. Symmetry generates all atoms from Fe at (0.0000, 0.0000, 0.0000), Mo at (0.5000, 0.5000, 0.7444), Ir at (0.0000, 0.0000, 0.4953) and Ir at (0.5000, 0.5000, 0.2085).

As for the density of states at the Fermi level: 2.944 states/eV/f.u. The value obtained for the polymorph energy (0 for the lowest one) is 1.59 eV per formula unit. The volume comes out at 55.54 Å³/cell. As for the formation energy: 82 meV/atom.

(6)
Here is a PBEsol-optimized structure of FeNiIrN2 from Alexandria. Energies are from SCAN.

It has space group P4/mmm (No. 123), with a = 3.5591 Å, b = 3.5591 Å, c = 4.5326 Å, α = 90.00°, β = 90.00° and γ = 90.00°. Symmetry generates all atoms from Fe at (0.0000, 0.0000, 0.0000), Ni at (0.0000, 0.0000, 0.5000), Ir at (0.5000, 0.5000, 0.0000) and N at (0.0000, 0.5000, 0.5000).

As for the density of states at the Fermi level: 3.260 states/eV/f.u. The volume comes out at 57.41 Å³/cell. The formation energy (no corrections) is 7.8 eV/f.u.

(7)
Here is a PBEsol-optimized structure of FeTe2IrN from Alexandria. Energies are from SCAN.

It has space group P4/mmm (No. 123), with a = 5.3873 Å, b = 5.3873 Å, c = 3.6097 Å, α = 90.00°, β = 90.00° and γ = 90.00°. Symmetry generates all atoms from Fe at (0.0000, 0.0000, 0.0000), Te at (0.0000, 0.5000, 0.5000), Ir at (0.5000, 0.5000, 0.5000) and N at (0.5000, 0.5000, 0.0000).

As for the density of states at the Fermi level: 3.237 states/eV/f.u. The volume comes out at 104.76 Å³/cell. The formation energy (no corrections) is 2.8 eV/f.u.

(8)
Here is a PBEsol-optimized structure of Na2FeIr from Alexandria. Energies are from SCAN.

It has space group Fm-3m (No. 225), with a = 6.4637 Å, b = 6.4637 Å, c = 6.4637 Å, α = 90.00°, β = 90.00° and γ = 90.00°. Symmetry generates all atoms from Na at (0.2500, 0.2500, 0.2500), Fe at (0.0000, 0.0000, 0.0000) and Ir at (0.0000, 0.0000, 0.5000).

As for the density of states at the Fermi level: 2.086 states/eV/f.u. The volume comes out at 270.06 Å³/cell. As for the formation energy: 964 meV/atom.

(9)
Here is a PBEsol-optimized structure of NbFe2IrOs from Alexandria. Energies are from SCAN.

It has space group P4/mmm (No. 123), with a = 4.3489 Å, b = 4.3489 Å, c = 4.7024 Å, α = 90.00°, β = 90.00° and γ = 90.00°. Symmetry generates all atoms from Nb at (0.0000, 0.0000, 0.0000), Fe at (0.0000, 0.5000, 0.5000), Ir at (0.5000, 0.5000, 0.0000) and Os at (0.5000, 0.5000, 0.5000).

As for the density of states at the Fermi level: 5.764 states/eV/f.u. The volume comes out at 88.94 Å³/cell. As for the formation energy: 1417 meV/atom.

(10)
Here is a PBEsol-optimized structure of FeNi6Ir from Alexandria. Energies are from SCAN.

It has space group Cmmm (No. 65), with a = 7.0517 Å, b = 9.9980 Å, c = 9.9972 Å, α = 90.00°, β = 90.00° and γ = 90.00°. Symmetry generates all atoms from Fe at (0.0000, 0.0000, 0.2472), Fe at (0.0000, 0.2497, 0.0000), Ni at (0.0000, 0.0000, 0.0000), Ni at (0.0000, 0.0000, 0.5000), Ni at (0.0000, 0.2483, 0.2456), Ni at (0.0000, 0.5000, 0.0000), Ni at (0.0000, 0.5000, 0.5000), Ni at (0.2461, 0.1240, 0.3713), Ni at (0.2467, 0.1261, 0.1222), Ir at (0.0000, 0.2492, 0.5000) and Ir at (0.0000, 0.5000, 0.2490).

As for the density of states at the Fermi level: 7.404 states/eV/f.u. The volume comes out at 704.83 Å³/cell. As for the formation energy: -55 meV/atom.

(11)
Here is a PBEsol-optimized structure of FePIrO2 from Alexandria. Energies are from SCAN.

It has space group P4/mmm (No. 123), with a = 3.6735 Å, b = 3.6735 Å, c = 5.3265 Å, α = 90.00°, β = 90.00° and γ = 90.00°. Symmetry generates all atoms from Fe at (0.0000, 0.0000, 0.0000), P at (0.5000, 0.5000, 0.0000), Ir at (0.5000, 0.5000, 0.5000) and O at (0.0000, 0.5000, 0.5000).

As for the density of states at the Fermi level: 6.426 states/eV/f.u. The volume comes out at 71.88 Å³/cell. The formation energy (no corrections) is 0.1 eV/f.u.

(12)
Here is a PBEsol-optimized structure of FeIr2Os from Alexandria. Energies are from SCAN.

It has space group P4/mmm (No. 123), with a = 2.6910 Å, b = 2.6910 Å, c = 7.4099 Å, α = 90.00°, β = 90.00° and γ = 90.00°. Symmetry generates all atoms from Fe at (0.0000, 0.0000, 0.0000), Ir at (0.5000, 0.5000, 0.2443) and Os at (0.0000, 0.0000, 0.5000).

As for the density of states at the Fermi level: 3.049 states/eV/f.u. The value obtained for the polymorph energy (0 for the lowest one) is 0.02 eV per formula unit. The volume comes out at 53.66 Å³/cell. As for the formation energy: -84 meV/atom.